## Li4Tl2Pd5 (PBE)

Data for a geometry-optimized Li4Tl2Pd5 structure.

Unit cell a=5.631 b=5.520 c=7.338 alpha=84.23 beta=67.44 gamma=59.33
Sites, in units of the cell vectors:
Tl 0.299 0.627 0.775
Tl 0.701 0.373 0.225
Pd 0.000 0.500 0.500
Pd 0.751 0.846 0.172
Pd 0.769 0.154 0.828
Pd 0.231 0.846 0.172
Pd 0.249 0.154 0.828
Li 0.724 0.033 0.519
Li 0.276 0.967 0.481
Li 0.729 0.680 0.862
Li 0.271 0.320 0.138

Energy of formation from the pure elements, meV/atom: -303
Energy, eV per atom: -3.789
Space-group type: C2/m (12)
D(E_F), states/eV per atom: 0.33
Spin magnetization, μB/f.u.: 0.000